[1]
YNbNi: relaxed, PBE.

a b c (Å): 6.421 6.421 6.421
angles (deg): 90.00 90.00 90.00
Space group F-43m (No. 216)
Symmetry-distinct sites (fractional):
Y1 0.000 0.000 0.000 [4 per cell]
Nb1 0.250 0.250 0.750 [4 per cell]
Ni1 0.250 0.250 0.250 [4 per cell]

Properties
Energy of formation = 363 kJ/mol of formula units
Distance to the lowest polymorph of the same formula = 426 meV per atom
Crystal system = cubic

***

[2]
NbZn2Ni: relaxed, PBE.

a b c (Å): 6.086 6.086 6.086
angles (deg): 90.00 90.00 90.00
Space group F-43m (No. 216)
Symmetry-distinct sites (fractional):
Nb1 0.000 0.000 0.000 [4 per cell]
Zn1 0.000 0.000 0.500 [4 per cell]
Zn2 0.250 0.250 0.250 [4 per cell]
Ni1 0.250 0.250 0.750 [4 per cell]

Properties
Energy of formation = -36 kJ/mol of formula units
Crystal system = cubic

***

> Which formula does entry 2 have?

NbZn2Ni

***

> Which value of energy of formation does entry 2 give?

-36 kJ/mol of formula units

***

> Number 1 is which compound?

YNbNi